# NaGa3I

An optimized crystal structure of NaGa3I (PBE, Alexandria).

```
NaGa3I
1.0
5.481 0.000 0.000
0.000 5.481 0.000
0.000 0.000 5.481
Na Ga I
1 3 1
Cartesian
0.000 0.000 0.000 Na
0.000 0.000 2.740 Ga
0.000 2.740 0.000 Ga
2.740 0.000 0.000 Ga
2.740 2.740 2.740 I
```

Summary:
- symmetry = No. 221
- ΔE to the lowest computed polymorph (meV per atom) = 0
- formation energy without anion corrections (meV per atom) = 414
- density (g/cm3) = 3.6